1.
First-principles (PBE) data for an optimized crystal structure of NdZrAlIr2, as listed in the Alexandria database.

The structure in extended XYZ format:
```
10
Lattice="4.188 0.000 0.000 0.000 4.188 0.000 0.000 0.000 11.806" Properties=species:S:1:pos:R:3 pbc="T T T"
Nd 0.000 0.000 0.000
Nd 2.094 2.094 5.903
Zr 0.000 2.094 8.854
Zr 2.094 0.000 2.951
Al 0.000 2.094 2.951
Al 2.094 0.000 8.854
Ir 0.000 0.000 4.586
Ir 0.000 0.000 7.220
Ir 2.094 2.094 1.317
Ir 2.094 2.094 10.488
```

**Space-group type**: I-4m2 (119)
**E_form**: -0.818 eV per atom
**V**: 20.7 Å³ per atom
**Density of states at the Fermi level**: 2.9 states/eV/f.u.
**Electronic total energy**: -7.774 eV per atom

***

2.
First-principles (PBE) data for an optimized crystal structure of AlNi2Ir, as listed in the Alexandria database.

The structure in extended XYZ format:
```
8
Lattice="3.782 0.000 0.000 0.000 3.782 0.000 0.000 0.000 7.007" Properties=species:S:1:pos:R:3 pbc="T T T"
Al 0.000 0.000 0.000
Al 1.891 1.891 3.504
Ni 0.000 0.000 3.504
Ni 0.000 1.891 1.752
Ni 1.891 0.000 5.255
Ni 1.891 1.891 0.000
Ir 0.000 1.891 5.255
Ir 1.891 0.000 1.752
```

**Space-group type**: I-4m2 (119)
**E_form**: -0.396 eV per atom
**V**: 12.5 Å³ per atom
**Density of states at the Fermi level**: 4.7 states/eV/f.u.
**Electronic total energy**: -6.438 eV per atom

***

Q: Which of these has the highest E_form?
A: AlNi2Ir